La3ZnCo: optimized geometry, PBE.

## Properties
M_tot = 0.00 Bohr magnetons per cell
E above lowest polymorph = 109 meV/atom
V = 29.9 Å³/atom
Uncorrected energy = -23.493 eV per formula unit
Energy of formation from the pure elements = -0.066 eV/atom

a b c (Å): 5.3098 5.3098 5.3098
angles (deg): 90.00 90.00 90.00
Fractional positions:
La: 0.0000 0.0000 0.5000
La: 0.0000 0.5000 0.0000
La: 0.5000 0.0000 0.0000
Zn: 0.5000 0.5000 0.5000
Co: 0.0000 0.0000 0.0000

=====

Ca2CdFe2: optimized geometry, PBE.

## Properties
M_tot = 8.13 Bohr magnetons per cell
V = 22.3 Å³/atom
Uncorrected energy = -20.633 eV per formula unit
Energy of formation from the pure elements = 0.242 eV/atom

a b c (Å): 7.1077 7.1077 4.4055
angles (deg): 90.00 90.00 90.00
Fractional positions:
Ca: 0.1796 0.3204 0.0000
Ca: 0.3204 0.8204 0.0000
Ca: 0.6796 0.1796 0.0000
Ca: 0.8204 0.6796 0.0000
Cd: 0.0000 0.0000 0.5000
Cd: 0.5000 0.5000 0.5000
Fe: 0.1083 0.6083 0.5000
Fe: 0.3917 0.1083 0.5000
Fe: 0.6083 0.8917 0.5000
Fe: 0.8917 0.3917 0.5000

=====

CePrTe2Br: optimized geometry, PBE.

## Properties
M_tot = 2.70 Bohr magnetons per cell
V = 31.3 Å³/atom
Uncorrected energy = -25.938 eV per formula unit
Raw formation energy = -1.454 eV/atom

a b c (Å): 4.5339 4.5339 15.2210
angles (deg): 90.00 90.00 90.00
Fractional positions:
Ce: 0.2500 0.2500 0.0890
Ce: 0.7500 0.7500 0.9110
Pr: 0.2500 0.2500 0.6425
Pr: 0.7500 0.7500 0.3575
Te: 0.2500 0.2500 0.2985
Te: 0.2500 0.2500 0.8775
Te: 0.7500 0.7500 0.1225
Te: 0.7500 0.7500 0.7015
Br: 0.2500 0.7500 0.5000
Br: 0.7500 0.2500 0.5000

=====

KBaInAs2: optimized geometry, PBE.

## Properties
M_tot = 0.00 Bohr magnetons per cell
V = 35.9 Å³/atom
Uncorrected energy = -18.267 eV per formula unit
Energy of formation from the pure elements = -0.642 eV/atom

a b c (Å): 8.9601 8.9601 11.2982
angles (deg): 126.06 126.06 29.95
Fractional positions:
K: 0.1298 0.1298 0.4102
K: 0.8702 0.8702 0.5898
Ba: 0.2631 0.2631 0.1807
Ba: 0.7369 0.7369 0.8193
In: 0.4504 0.4504 0.0929
In: 0.5496 0.5496 0.9071
As: 0.1019 0.1019 0.8251
As: 0.3574 0.3574 0.7872
As: 0.6426 0.6426 0.2128
As: 0.8981 0.8981 0.1749

=====

SrPBr2: optimized geometry, PBE.

## Properties
M_tot = 3.00 Bohr magnetons per cell
E above lowest polymorph = 176 meV/atom
V = 44.6 Å³/atom
Uncorrected energy = -13.259 eV per formula unit
Raw formation energy = -0.705 eV/atom

a b c (Å): 9.9166 9.9166 9.9166
angles (deg): 27.09 27.09 27.09
Fractional positions:
Sr: 0.0000 0.0000 0.0000
P: 0.5000 0.5000 0.5000
Br: 0.2794 0.2794 0.2794
Br: 0.7206 0.7206 0.7206

=====

MnAlCo2Tc: optimized geometry, PBE.

## Properties
M_tot = 3.20 Bohr magnetons per cell
V = 14.7 Å³/atom
Uncorrected energy = -32.072 eV per formula unit
Energy of formation from the pure elements = 1.084 eV/atom

a b c (Å): 4.0957 4.0957 4.3754
angles (deg): 90.00 90.00 90.00
Fractional positions:
Mn: 0.0000 0.0000 0.0000
Al: 0.0000 0.0000 0.5000
Co: 0.0000 0.5000 0.0000
Co: 0.5000 0.0000 0.0000
Tc: 0.5000 0.5000 0.5000

=====

RhPbCl6: optimized geometry, PBE.

## Properties
M_tot = 0.00 Bohr magnetons per cell
V = 32.7 Å³/atom
Uncorrected energy = -27.740 eV per formula unit
Raw formation energy = -0.700 eV/atom

a b c (Å): 6.5083 6.5083 6.9980
angles (deg): 105.84 105.84 101.67
Fractional positions:
Rh: 0.0000 0.0000 0.0000
Pb: 0.0000 0.0000 0.5000
Cl: 0.0359 0.7113 0.7351
Cl: 0.2548 0.2548 0.9296
Cl: 0.2887 0.9641 0.2649
Cl: 0.7113 0.0359 0.7351
Cl: 0.7452 0.7452 0.0704
Cl: 0.9641 0.2887 0.2649

=====

HgGePbSe4: optimized geometry, PBE.

## Properties
M_tot = 0.00 Bohr magnetons per cell
V = 29.7 Å³/atom
Uncorrected energy = -24.203 eV per formula unit
Raw formation energy = -0.234 eV/atom

a b c (Å): 6.6140 7.5983 8.3965
angles (deg): 90.00 99.71 90.00
Fractional positions:
Hg: 0.2250 0.2500 0.0656
Hg: 0.7750 0.7500 0.9344
Ge: 0.2395 0.7500 0.7988
Ge: 0.7605 0.2500 0.2012
Pb: 0.2027 0.2500 0.4999
Pb: 0.7973 0.7500 0.5001
Se: 0.0151 0.0144 0.2317
Se: 0.0151 0.4856 0.2317
Se: 0.3723 0.7500 0.5557
Se: 0.4488 0.7500 0.0583
Se: 0.5512 0.2500 0.9417
Se: 0.6277 0.2500 0.4443
Se: 0.9849 0.5144 0.7683
Se: 0.9849 0.9856 0.7683

=====

LaTc2Pt: optimized geometry, PBE.

## Properties
M_tot = 0.00 Bohr magnetons per cell
E above lowest polymorph = 0 meV/atom
V = 21.7 Å³/atom
Uncorrected energy = -32.214 eV per formula unit
Energy of formation from the pure elements = -0.129 eV/atom

a b c (Å): 6.0650 6.0650 6.0650
angles (deg): 41.04 41.04 41.04
Fractional positions:
La: 0.0000 0.0000 0.0000
Tc: 0.4815 0.4815 0.4815
Tc: 0.8052 0.8052 0.8052
Pt: 0.2220 0.2220 0.2220

=====

Ce2Dy6Er3Sc: optimized geometry, PBE.

## Properties
M_tot = 1.86 Bohr magnetons per cell
V = 30.4 Å³/atom
Uncorrected energy = -58.865 eV per formula unit
Energy of formation from the pure elements = 0.053 eV/atom

a b c (Å): 6.0640 6.0640 11.6218
angles (deg): 94.99 94.99 120.00
Fractional positions:
Ce: 0.1663 0.8337 0.0000
Ce: 0.8337 0.1663 0.0000
Dy: 0.0850 0.4172 0.7524
Dy: 0.2504 0.2504 0.2479
Dy: 0.4172 0.0850 0.7524
Dy: 0.5828 0.9150 0.2476
Dy: 0.7496 0.7496 0.7521
Dy: 0.9150 0.5828 0.2476
Er: 0.0000 0.0000 0.5000
Er: 0.3340 0.6660 0.5000
Er: 0.6660 0.3340 0.5000
Sc: 0.5000 0.5000 0.0000

=====

FePtAu4: optimized geometry, PBE.

## Properties
M_tot = 3.72 Bohr magnetons per cell
V = 18.5 Å³/atom
Uncorrected energy = -25.000 eV per formula unit
Energy of formation from the pure elements = 0.436 eV/atom

a b c (Å): 5.3947 5.3947 5.3947
angles (deg): 60.00 60.00 60.00
Fractional positions:
Fe: 0.0000 0.0000 0.0000
Pt: 0.2500 0.2500 0.2500
Au: 0.1249 0.6250 0.6250
Au: 0.6250 0.1249 0.6250
Au: 0.6250 0.6250 0.1249
Au: 0.6250 0.6250 0.6250

=====

Tb6Nd2YHo: optimized geometry, PBE.

## Properties
M_tot = 0.00 Bohr magnetons per cell
V = 33.0 Å³/atom
Uncorrected energy = -47.221 eV per formula unit
Energy of formation from the pure elements = 0.114 eV/atom

a b c (Å): 8.8380 8.8380 9.7050
angles (deg): 94.36 94.36 118.43
Fractional positions:
Tb: 0.0212 0.5750 0.1882
Tb: 0.1270 0.7471 0.5567
Tb: 0.2529 0.8730 0.9433
Tb: 0.2903 0.5005 0.3807
Tb: 0.4250 0.9788 0.3118
Tb: 0.4995 0.7097 0.1193
Tb: 0.5005 0.2903 0.8807
Tb: 0.5750 0.0212 0.6882
Tb: 0.7097 0.4995 0.6193
Tb: 0.7471 0.1270 0.0567
Tb: 0.8730 0.2529 0.4433
Tb: 0.9788 0.4250 0.8118
Nd: 0.1941 0.3011 0.0421
Nd: 0.3011 0.1941 0.5421
Nd: 0.6989 0.8059 0.4579
Nd: 0.8059 0.6989 0.9579
Y: 0.0187 0.9813 0.2500
Y: 0.9813 0.0187 0.7500
Ho: 0.4076 0.5924 0.7500
Ho: 0.5924 0.4076 0.2500

=====

Pr5Hg: optimized geometry, PBE.

## Properties
M_tot = 0.00 Bohr magnetons per cell
E above lowest polymorph = 64 meV/atom
V = 33.1 Å³/atom
Uncorrected energy = -24.725 eV per formula unit
Energy of formation from the pure elements = -0.088 eV/atom

a b c (Å): 8.2502 8.2502 5.0601
angles (deg): 90.00 90.00 144.83
Fractional positions:
Pr: 0.0000 0.0000 0.0000
Pr: 0.1624 0.8376 0.5000
Pr: 0.3353 0.6647 0.0000
Pr: 0.6647 0.3353 0.0000
Pr: 0.8376 0.1624 0.5000
Hg: 0.5000 0.5000 0.5000

=====

MnCoAs2: optimized geometry, PBE.

## Properties
M_tot = 2.32 Bohr magnetons per cell
E above lowest polymorph = 202 meV/atom
V = 13.4 Å³/atom
Uncorrected energy = -25.203 eV per formula unit
Energy of formation from the pure elements = 0.093 eV/atom

a b c (Å): 4.2322 4.2322 4.2322
angles (deg): 60.00 60.00 60.00
Fractional positions:
Mn: 0.0000 0.0000 0.0000
Co: 0.5000 0.5000 0.5000
As: 0.2500 0.2500 0.2500
As: 0.7500 0.7500 0.7500

=====

Nd2CuIr: optimized geometry, PBE.

## Properties
M_tot = 0.00 Bohr magnetons per cell
V = 26.0 Å³/atom
Uncorrected energy = -23.719 eV per formula unit
Energy of formation from the pure elements = -0.307 eV/atom

a b c (Å): 7.2224 7.2224 7.2224
angles (deg): 33.86 33.86 33.86
Fractional positions:
Nd: 0.2424 0.2424 0.2424
Nd: 0.7576 0.7576 0.7576
Cu: 0.0000 0.0000 0.0000
Ir: 0.5000 0.5000 0.5000

=====

La6CoSn2Ru: optimized geometry, PBE.

## Properties
M_tot = 0.00 Bohr magnetons per cell
V = 31.0 Å³/atom
Uncorrected energy = -58.568 eV per formula unit
Energy of formation from the pure elements = -0.462 eV/atom

a b c (Å): 7.6180 7.5961 7.5840
angles (deg): 60.24 59.96 59.80
Fractional positions:
La: 0.2446 0.7554 0.7554
La: 0.2470 0.7530 0.2470
La: 0.2481 0.2481 0.7519
La: 0.7519 0.7519 0.2481
La: 0.7530 0.2470 0.7530
La: 0.7554 0.2446 0.2446
Co: 0.0000 0.0000 0.0000
Sn: 0.2500 0.2500 0.2500
Sn: 0.7500 0.7500 0.7500
Ru: 0.5000 0.5000 0.5000

=====

DyCuH8Ir2: optimized geometry, PBE.

## Properties
M_tot = 0.00 Bohr magnetons per cell
V = 8.2 Å³/atom
Uncorrected energy = -55.184 eV per formula unit

a b c (Å): 4.6254 4.6254 6.0402
angles (deg): 111.50 111.50 56.93
Fractional positions:
Dy: 0.0000 0.0000 0.0000
Cu: 0.5000 0.5000 0.5000
H: 0.0813 0.5781 0.1797
H: 0.2575 0.2575 0.3979
H: 0.4219 0.9187 0.8203
H: 0.4308 0.4308 0.8334
H: 0.5692 0.5692 0.1666
H: 0.5781 0.0813 0.1797
H: 0.7425 0.7425 0.6021
H: 0.9187 0.4219 0.8203
Ir: 0.2115 0.2115 0.6508
Ir: 0.7885 0.7885 0.3492

=====

Ca4ZrTl: optimized geometry, PBE.

## Properties
M_tot = 4.50 Bohr magnetons per cell
V = 33.8 Å³/atom
Uncorrected energy = -15.927 eV per formula unit
Energy of formation from the pure elements = 0.499 eV/atom

a b c (Å): 6.5939 6.5939 6.5939
angles (deg): 60.00 60.00 60.00
Fractional positions:
Ca: 0.1254 0.1254 0.1254
Ca: 0.1254 0.1254 0.6238
Ca: 0.1254 0.6238 0.1254
Ca: 0.6238 0.1254 0.1254
Zr: 0.5000 0.5000 0.5000
Tl: 0.7500 0.7500 0.7500

=====

LiPuIr: optimized geometry, PBE.

## Properties
M_tot = 10.01 Bohr magnetons per cell
E above lowest polymorph = 75 meV/atom
V = 17.4 Å³/atom
Uncorrected energy = -26.019 eV per formula unit
Energy of formation from the pure elements = -0.304 eV/atom

a b c (Å): 5.5039 5.5039 4.3644
angles (deg): 113.28 113.28 97.90
Fractional positions:
Li: 0.0277 0.9723 0.7500
Li: 0.9723 0.0277 0.2500
Pu: 0.3821 0.6179 0.7500
Pu: 0.6179 0.3821 0.2500
Ir: 0.0000 0.5000 0.0000
Ir: 0.5000 0.0000 0.5000

=====

NaLaTm2Hg4: optimized geometry, PBE.

## Properties
M_tot = 0.00 Bohr magnetons per cell
V = 26.0 Å³/atom
Uncorrected energy = -19.531 eV per formula unit
Energy of formation from the pure elements = -0.392 eV/atom

a b c (Å): 9.3962 9.3962 9.3962
angles (deg): 32.11 32.11 32.11
Fractional positions:
Na: 0.0000 0.0000 0.0000
La: 0.5000 0.5000 0.5000
Tm: 0.2566 0.2566 0.2566
Tm: 0.7434 0.7434 0.7434
Hg: 0.1168 0.1168 0.1168
Hg: 0.3738 0.3738 0.3738
Hg: 0.6262 0.6262 0.6262
Hg: 0.8832 0.8832 0.8832

=====

GdYPu4: optimized geometry, PBE.

## Properties
M_tot = 30.52 Bohr magnetons per cell
V = 28.3 Å³/atom
Uncorrected energy = -76.440 eV per formula unit
Energy of formation from the pure elements = 0.239 eV/atom

a b c (Å): 6.2186 6.2186 6.2186
angles (deg): 60.00 60.00 60.00
Fractional positions:
Gd: 0.0000 0.0000 0.0000
Y: 0.2500 0.2500 0.2500
Pu: 0.1250 0.6250 0.6250
Pu: 0.6250 0.1250 0.6250
Pu: 0.6250 0.6250 0.1250
Pu: 0.6250 0.6250 0.6250

=====

PrCuAgTe3: optimized geometry, PBE.

## Properties
M_tot = 0.00 Bohr magnetons per cell
V = 28.4 Å³/atom
Uncorrected energy = -24.606 eV per formula unit
Raw formation energy = -0.576 eV/atom

a b c (Å): 8.7414 4.2953 9.1299
angles (deg): 90.00 95.72 90.00
Fractional positions:
Pr: 0.1483 0.2500 0.2348
Pr: 0.8517 0.7500 0.7652
Cu: 0.0627 0.2500 0.5719
Cu: 0.9373 0.7500 0.4281
Ag: 0.3642 0.7500 0.8562
Ag: 0.6358 0.2500 0.1438
Te: 0.1164 0.2500 0.8630
Te: 0.2342 0.7500 0.5126
Te: 0.4106 0.7500 0.1717
Te: 0.5894 0.2500 0.8283
Te: 0.7658 0.2500 0.4874
Te: 0.8836 0.7500 0.1370

=====

Sm2Y4Er5: optimized geometry, PBE.

## Properties
M_tot = 0.01 Bohr magnetons per cell
E above lowest polymorph = 187 meV/atom
V = 33.2 Å³/atom
Uncorrected energy = -55.436 eV per formula unit
Energy of formation from the pure elements = 0.243 eV/atom

a b c (Å): 12.5610 12.5610 12.5610
angles (deg): 163.98 137.99 45.24
Fractional positions:
Sm: 0.2328 0.2328 0.0000
Sm: 0.7672 0.7672 0.0000
Y: 0.0983 0.0983 0.0000
Y: 0.1917 0.5000 0.6917
Y: 0.8083 0.5000 0.3083
Y: 0.9017 0.9017 0.0000
Er: 0.1630 0.3573 0.8057
Er: 0.4483 0.6427 0.8057
Er: 0.5000 0.0000 0.5000
Er: 0.5517 0.3573 0.1943
Er: 0.8370 0.6427 0.1943

=====

TbSm4YS8: optimized geometry, PBE.

## Properties
M_tot = 0.00 Bohr magnetons per cell
V = 27.7 Å³/atom
Uncorrected energy = -89.934 eV per formula unit
Raw formation energy = -1.925 eV/atom

a b c (Å): 8.1778 8.1778 8.1778
angles (deg): 60.13 60.13 60.13
Fractional positions:
Tb: 0.0000 0.0000 0.0000
Sm: 0.0001 0.0001 0.4972
Sm: 0.0001 0.4972 0.0001
Sm: 0.4972 0.0001 0.0001
Sm: 0.6237 0.6237 0.6237
Y: 0.3748 0.3748 0.3748
S: 0.2235 0.7606 0.7606
S: 0.2404 0.2404 0.7677
S: 0.2404 0.7677 0.2404
S: 0.2443 0.2443 0.2443
S: 0.7567 0.7567 0.7567
S: 0.7606 0.2235 0.7606
S: 0.7606 0.7606 0.2235
S: 0.7677 0.2404 0.2404